A relaxed K2CaNd4Nb2O12 crystal. Source: the Alexandria database, functional PBE-GGA.

DOS at the Fermi energy = 9.72 states/eV/cell
Uncorrected formation energy = -2.6155 eV per atom
Energy relative to the lowest polymorph listed for this composition = 133 meV/atom

The structure in CIF format:
```
data_K2CaNd4Nb2O12
_chemical_formula_sum 'K4 Ca2 Nd8 Nb4 O24'
_cell_length_a 13.082
_cell_length_b 5.867
_cell_length_c 9.143
_cell_angle_alpha 90.00
_cell_angle_beta 107.89
_cell_angle_gamma 90.00
_space_group_name_H-M_alt 'C 1 m 1'
_space_group_IT_number 8
loop_
_space_group_symop_operation_xyz
'x,y,z'
'x,-y,z'
'x+1/2,y+1/2,z'
'x+1/2,-y+1/2,z'
loop_
_atom_site_label
_atom_site_fract_x
_atom_site_fract_y
_atom_site_fract_z
K1 0.000 0.000 0.000
K2 0.231 0.000 0.983
Ca1 0.265 0.500 0.471
Nd1 0.011 0.000 0.565
Nd2 0.017 0.500 0.286
Nd3 0.182 0.500 0.727
Nd4 0.245 0.000 0.405
Nb1 0.277 0.500 0.177
Nb2 0.440 0.000 0.780
O1 0.059 0.269 0.782
O2 0.122 0.263 0.494
O3 0.164 0.277 0.214
O4 0.295 0.500 0.981
O5 0.347 0.240 0.649
O6 0.381 0.270 0.336
O7 0.433 0.000 0.983
```



A relaxed GdMg3 crystal. Source: the Alexandria database, functional PBE-GGA.

DOS at the Fermi energy = 7.54 states/eV/cell
E_form = 0.016 eV per atom

The structure in CIF format:
```
data_GdMg3
_chemical_formula_sum 'Gd2 Mg6'
_cell_length_a 3.214
_cell_length_b 11.045
_cell_length_c 5.849
_cell_angle_alpha 90.00
_cell_angle_beta 90.00
_cell_angle_gamma 90.00
_space_group_name_H-M_alt 'I m m 2'
_space_group_IT_number 44
loop_
_space_group_symop_operation_xyz
'x,y,z'
'-x,-y,z'
'-x,y,z'
'x,-y,z'
'x+1/2,y+1/2,z+1/2'
'-x+1/2,-y+1/2,z+1/2'
'-x+1/2,y+1/2,z+1/2'
'x+1/2,-y+1/2,z+1/2'
loop_
_atom_site_label
_atom_site_fract_x
_atom_site_fract_y
_atom_site_fract_z
Gd1 0.000 0.000 0.000
Mg1 0.000 0.244 0.665
Mg2 0.000 0.500 0.995
```



A relaxed Ca3Ce2DyN6 crystal. Source: the Alexandria database, functional PBE-GGA.

DOS at the Fermi energy = 26.42 states/eV/cell
Uncorrected formation energy = -1.2317 eV per atom

The structure in CIF format:
```
data_Ca3Ce2DyN6
_chemical_formula_sum 'Ca6 Ce4 Dy2 N12'
_cell_length_a 6.133
_cell_length_b 10.634
_cell_length_c 6.095
_cell_angle_alpha 90.00
_cell_angle_beta 109.53
_cell_angle_gamma 90.00
_space_group_name_H-M_alt 'C 1 2/m 1'
_space_group_IT_number 12
loop_
_space_group_symop_operation_xyz
'x,y,z'
'-x,-y,-z'
'-x,y,-z'
'x,-y,z'
'x+1/2,y+1/2,z'
'-x+1/2,-y+1/2,-z'
'-x+1/2,y+1/2,-z'
'x+1/2,-y+1/2,z'
loop_
_atom_site_label
_atom_site_fract_x
_atom_site_fract_y
_atom_site_fract_z
Ca1 0.000 0.000 0.000
Ca2 0.000 0.335 0.000
Ce1 0.000 0.167 0.500
Dy1 0.000 0.500 0.500
N1 0.237 0.000 0.724
N2 0.244 0.331 0.724
```



A relaxed Dy3PN5 crystal. Source: the Alexandria database, functional PBE-GGA.

DOS at the Fermi energy = 22.27 states/eV/cell
Uncorrected formation energy = -1.2520 eV per atom

The structure in CIF format:
```
data_Dy3PN5
_chemical_formula_sum 'Dy12 P4 N20'
_cell_length_a 6.477
_cell_length_b 6.477
_cell_length_c 10.587
_cell_angle_alpha 90.00
_cell_angle_beta 90.00
_cell_angle_gamma 90.00
_space_group_name_H-M_alt 'I 4/m c m'
_space_group_IT_number 140
_space_group_name_Hall '-I 4 2c'
loop_
_atom_site_label
_atom_site_fract_x
_atom_site_fract_y
_atom_site_fract_z
Dy1 0.000 0.000 0.250
Dy2 0.180 0.320 0.000
P1 0.000 0.500 0.250
N1 0.000 0.000 0.000
N2 0.139 0.361 0.348
```